# 1
This record from Alexandria via LeMat-Bulk describes crystalline SrZrOs2 at its relaxed geometry. The functional is GGA-PBE.

POSCAR file:
```
SrZrOs2
1.0
3.2623 0.0000 0.0000
0.0000 4.9789 0.0000
0.0000 0.0000 4.6593
Os Zr Sr
2 1 1
direct
0.0000 0.0000 0.0000
0.5000 0.5000 0.0000
0.0000 0.5000 0.5000
0.5000 0.0000 0.5000
```

Distance to the lowest polymorph of the same formula = 527 meV/atom
SG = Pmmm (47)
Formation energy = 812 meV/atom
DOS at the Fermi energy = 3.56 states/eV/cell

=====

# 2
This record from Alexandria via LeMat-Bulk describes crystalline Rb2ScCu2Se4 at its relaxed geometry. The functional is GGA-PBE.

POSCAR file:
```
Rb2ScCu2Se4
1.0
3.9621 0.0000 0.0000
0.0000 8.1320 0.5285
-1.9811 -2.7261 6.8850
Se Sc Cu Rb
4 1 2 2
direct
0.1955 0.1705 0.3910
0.4804 0.2183 0.9607
0.5196 0.7817 0.0393
0.8045 0.8295 0.6090
0.0000 0.0000 0.0000
0.6823 0.9850 0.3646
0.3177 0.0150 0.6354
0.8681 0.4428 0.7362
0.1319 0.5572 0.2638
```

SG = C2/m (12)
Energy relative to the elements, uncorrected = -1.003 eV per atom
DOS at the Fermi energy = 4.14 states/eV/cell

=====

# 3
This record from Alexandria via LeMat-Bulk describes crystalline KZn2Co at its relaxed geometry. The functional is GGA-PBE.

POSCAR file:
```
KZn2Co
1.0
4.4432 0.0197 -0.0177
3.5604 2.6582 -0.0177
0.7487 0.2505 6.9857
K Zn Co
1 2 1
direct
0.2500 0.2500 0.2500
0.4764 0.4764 0.5981
0.0236 0.0236 0.9019
0.7500 0.7500 0.7500
```

Distance to the lowest polymorph of the same formula = 71 meV/atom
SG = C2/m (12)
Formation energy = 350 meV/atom
DOS at the Fermi energy = 2.78 states/eV/cell

=====

# 4
This record from Alexandria via LeMat-Bulk describes crystalline CdIn2S at its relaxed geometry. The functional is GGA-PBE.

POSCAR file:
```
CdIn2S
1.0
3.5919 0.0000 0.0000
1.7959 3.1107 0.0000
1.7959 1.0369 9.9558
In S Cd
2 1 1
direct
0.8950 0.8950 0.3149
0.1050 0.1050 0.6851
0.5000 0.5000 0.5000
0.0000 0.0000 0.0000
```

Distance to the lowest polymorph of the same formula = 79 meV/atom
SG = R-3m (166)
Energy relative to the elements, uncorrected = -0.090 eV per atom
DOS at the Fermi energy = 1.86 states/eV/cell

=====

# 5
This record from Alexandria via LeMat-Bulk describes crystalline TiCrP2 at its relaxed geometry. The functional is GGA-PBE.

POSCAR file:
```
TiCrP2
1.0
-0.3809 1.4307 3.1063
1.7716 -2.9304 -0.3391
4.8558 3.0281 -0.7993
Ti P Cr
1 2 1
direct
0.0000 0.0000 0.0000
0.3333 0.6667 0.2660
0.6667 0.3333 0.7340
0.0000 0.0000 0.5000
```

Distance to the lowest polymorph of the same formula = 0 meV/atom
SG = P-3m1 (164)
Formation energy = -768 meV/atom
DOS at the Fermi energy = 2.12 states/eV/cell

=====

# 6
This record from Alexandria via LeMat-Bulk describes crystalline DyHo2Mg at its relaxed geometry. The functional is GGA-PBE.

POSCAR file:
```
DyHo2Mg
1.0
-3.2929 -0.7449 -0.8429
-2.1418 -1.3770 2.3717
-4.9865 9.6990 3.6930
Ho Dy Mg
2 1 1
direct
0.2490 0.2490 0.2530
0.0845 0.0845 0.7474
0.6670 0.6670 0.9996
0.4995 0.4995 0.5000
```

Distance to the lowest polymorph of the same formula = 72 meV/atom
SG = Cm (8)
Formation energy = 43 meV/atom
DOS at the Fermi energy = 5.77 states/eV/cell

=====

# 7
This record from Alexandria via LeMat-Bulk describes crystalline Ac2Mg4GaGe3 at its relaxed geometry. The functional is GGA-PBE.

POSCAR file:
```
Ac2Mg4GaGe3
1.0
-1.6153 -0.0358 4.3581
1.9222 -4.1771 0.6781
9.3355 4.8641 3.5001
Mg Ge Ac Ga
4 3 2 1
direct
0.5000 0.0000 0.6222
0.0000 0.5000 0.3778
0.5000 0.5000 0.0000
0.0000 0.0000 0.0000
0.0000 0.5000 0.1398
0.0000 0.0000 0.5000
0.5000 0.0000 0.8602
0.5000 0.0000 0.2645
0.0000 0.5000 0.7355
0.5000 0.5000 0.5000
```

SG = P-4m2 (115)
Formation energy = -479 meV/atom
DOS at the Fermi energy = 3.76 states/eV/cell

=====

- Which value of DOS at the Fermi energy does entry 7 give?
  3.76 states/eV/cell

=====

- What is the formula in the fifth record?
  TiCrP2

=====

- What is the DOS at the Fermi energy in the fourth record?
  1.86 states/eV/cell

=====

- Number 5 is which compound?
  TiCrP2